CrMo3P after structural relaxation, computed with PBE.

Properties
* space-group type: Pm-3m, No. 221
* formation energy: 885 meV/atom
* total magnetization: 0.01 μB per cell
* offset from the most stable computed form: 0.000 eV/atom

Cell: 4.4019 4.4019 4.4019 Å, 90.00 90.00 90.00°
Positions (direct):
1 Cr 0.5000 0.5000 0.5000
2 Mo 0.0000 0.5000 0.0000
3 Mo 0.0000 0.0000 0.5000
4 Mo 0.5000 0.0000 0.0000
5 P 0.0000 0.0000 0.0000